[1]
Below is MgCu2Cl after structural relaxation, with properties calculated at the PBE level. Values from VASP.

```
&SYSTEM
  ibrav = 0, nat = 4, ntyp = 3
/
ATOMIC_SPECIES
Cu 63.55 Cu.upf
Mg 24.30 Mg.upf
Cl 35.45 Cl.upf
CELL_PARAMETERS angstrom
-0.331 -2.212 -2.330
3.193 -0.026 -0.430
0.646 -5.496 5.126
ATOMIC_POSITIONS angstrom
Cu 0.085 -0.724 0.675
Cu 1.584 -2.418 -0.168
Mg 0.307 -2.614 2.438
Cl 1.855 -4.726 1.985
```

Calculated volume in A^3/atom: 19.6
Excess energy over the best structure of this formula in the dataset in eV/atom: 0.0002
SG: P4mm
Electronic total energy in eV per atom: -3.173
E_form (uncorrected) in kJ/mol of atoms: -26
Theoretical density in g/cm³: 4.0

[2]
Below is CaNi2Cl after structural relaxation, with properties calculated at the PBE level. Values from VASP.

```
&SYSTEM
  ibrav = 0, nat = 4, ntyp = 3
/
ATOMIC_SPECIES
Ca 40.08 Ca.upf
Ni 58.69 Ni.upf
Cl 35.45 Cl.upf
CELL_PARAMETERS angstrom
-1.591 -2.899 0.084
2.540 -1.439 -1.566
4.665 -2.400 5.521
ATOMIC_POSITIONS angstrom
Ca 3.678 -1.966 1.822
Ni 2.568 -1.424 -0.526
Ni 0.729 -2.265 0.770
Cl 4.782 -4.443 2.385
```

Calculated volume in A^3/atom: 20.1
Excess energy over the best structure of this formula in the dataset in eV/atom: 0.0048
SG: Pm
Electronic total energy in eV per atom: -4.251
E_form (uncorrected) in kJ/mol of atoms: -38
Theoretical density in g/cm³: 4.0